(1)
DFT (GGA-PBE) results for a geometry-optimized BeFeOs2 structure.

The space group is Imm2 (No. 44) and the conventional cell measures 2.845, 4.082 and 8.180 Å, with angles of 90.00, 90.00 and 90.00 degrees. The asymmetric unit holds Be at (0.000, 0.000, 0.000), Fe at (0.000, 0.500, 0.720), Os at (0.000, 0.000, 0.488) and Os at (0.000, 0.500, 0.260).

Its mass density is 15.57 g cm⁻³. Its formation energy from the elements is -0.503 kcal/mol of atoms. The size of the total moment comes out at 0.402 μB/atom.



(2)
DFT (GGA-PBE) results for a geometry-optimized Be2FeOs structure.

The space group is P4/mmm (No. 123) and the conventional cell measures 3.753, 3.753 and 2.969 Å, with angles of 90.00, 90.00 and 90.00 degrees. The asymmetric unit holds Be at (0.000, 0.500, 0.000), Fe at (0.000, 0.000, 0.500) and Os at (0.500, 0.500, 0.500).

Its mass density is 10.49 g cm⁻³. Its formation energy from the elements is -2.723 kcal/mol of atoms. The size of the total moment comes out at 0.733 μB/atom. The distance to the lowest polymorph of the same formula is 45 meV per atom.